Entry from Alexandria via LeMat-Bulk: a relaxed structure of HoBiO2 (GGA-PBE).

abc: 7.241 7.241 7.241
angles: 28.01 28.01 28.01
Fractional coordinates of all 4 atoms:
Ho  0.000  0.000  0.000
Bi  0.500  0.500  0.500
O  0.385  0.385  0.385
O  0.615  0.615  0.615

Values from the calculation:
Its raw formation energy is -56.04 kcal/mol of atoms. For the theoretical density, the calculation gives 9.11 g/cm3. The uncorrected energy is -7.024 eV per atom. Its density of states at the Fermi level is 0.40 states/eV/f.u. The symmetry is R-3m, No. 166. As for the total magnetization: 0.0000 μB/atom.



Entry from Alexandria via LeMat-Bulk: a relaxed structure of HoGe2Ir4 (GGA-PBE).

abc: 7.331 7.331 4.062
angles: 90.00 90.00 147.40
Fractional coordinates of all 7 atoms:
Ho  0.000  0.000  0.000
Ge  0.413  0.587  0.500
Ge  0.587  0.413  0.500
Ir  0.179  0.821  0.500
Ir  0.317  0.683  0.000
Ir  0.683  0.317  0.000
Ir  0.821  0.179  0.500

Values from the calculation:
For the theoretical density, the calculation gives 15.24 g/cm3. The uncorrected energy is -7.460 eV per atom. Its density of states at the Fermi level is 4.48 states/eV/f.u. The symmetry is Cmmm, No. 65. As for the total magnetization: 0.0000 μB/atom.



Entry from Alexandria via LeMat-Bulk: a relaxed structure of KSnIr3 (GGA-PBE).

abc: 5.006 5.006 5.006
angles: 90.00 90.00 90.00
Fractional coordinates of all 5 atoms:
K  0.000  0.000  0.000
Sn  0.500  0.500  0.500
Ir  0.000  0.500  0.500
Ir  0.500  0.000  0.500
Ir  0.500  0.500  0.000

Values from the calculation:
For the theoretical density, the calculation gives 9.72 g/cm3. The uncorrected energy is -4.870 eV per atom. Its density of states at the Fermi level is 9.88 states/eV/f.u. The symmetry is Pm-3m, No. 221. As for the total magnetization: 0.3257 μB/atom.



Entry from Alexandria via LeMat-Bulk: a relaxed structure of SmTm5Tl3 (GGA-PBE).

abc: 9.293 9.293 6.673
angles: 90.00 90.00 120.00
Fractional coordinates of all 18 atoms:
Sm  0.000  0.000  0.000
Sm  0.000  0.000  0.500
Tm  0.000  0.331  0.250
Tm  0.000  0.669  0.750
Tm  0.331  0.000  0.250
Tm  0.331  0.331  0.750
Tm  0.333  0.667  0.000
Tm  0.333  0.667  0.500
Tm  0.667  0.333  0.000
Tm  0.667  0.333  0.500
Tm  0.669  0.000  0.750
Tm  0.669  0.669  0.250
Tl  0.000  0.338  0.750
Tl  0.000  0.662  0.250
Tl  0.338  0.000  0.750
Tl  0.338  0.338  0.250
Tl  0.662  0.000  0.250
Tl  0.662  0.662  0.750

Values from the calculation:
For the theoretical density, the calculation gives 10.70 g/cm3. The uncorrected energy is -4.043 eV per atom. Its density of states at the Fermi level is 9.73 states/eV/f.u. The symmetry is P6_3/mcm, No. 193. As for the total magnetization: 0.0006 μB/atom.



Entry from Alexandria via LeMat-Bulk: a relaxed structure of Zr2TaP (GGA-PBE).

abc: 5.242 5.242 5.242
angles: 133.22 133.22 68.31
Fractional coordinates of all 4 atoms:
Zr  0.250  0.750  0.500
Zr  0.750  0.250  0.500
Ta  0.000  0.000  0.000
P  0.500  0.500  0.000

Values from the calculation:
For the theoretical density, the calculation gives 8.72 g/cm3. The uncorrected energy is -8.731 eV per atom. Its density of states at the Fermi level is 5.31 states/eV/f.u. The symmetry is I4/mmm, No. 139. As for the total magnetization: 0.0000 μB/atom.



Entry from Alexandria via LeMat-Bulk: a relaxed structure of Rb2AgNCl6 (GGA-PBE).

abc: 6.815 6.815 6.815
angles: 116.43 116.43 96.30
Fractional coordinates of all 10 atoms:
Rb  0.250  0.750  0.500
Rb  0.750  0.250  0.500
Ag  0.000  0.000  0.000
N  0.500  0.500  0.000
Cl  0.264  0.264  0.000
Cl  0.267  0.267  0.534
Cl  0.267  0.733  0.000
Cl  0.733  0.267  0.000
Cl  0.733  0.733  0.466
Cl  0.736  0.736  0.000

Values from the calculation:
Its raw formation energy is -10.32 kcal/mol of atoms. For the theoretical density, the calculation gives 3.58 g/cm3. The uncorrected energy is -2.867 eV per atom. Its density of states at the Fermi level is 0.11 states/eV/f.u. The symmetry is I4/mmm, No. 139. As for the total magnetization: 0.0000 μB/atom.



Entry from Alexandria via LeMat-Bulk: a relaxed structure of Te2PtPb (GGA-PBE).

abc: 4.693 3.957 6.562
angles: 90.00 106.13 90.00
Fractional coordinates of all 4 atoms:
Te  0.169  0.000  0.291
Te  0.831  0.000  0.709
Pt  0.500  0.500  0.500
Pb  0.500  0.500  0.000

Values from the calculation:
Its raw formation energy is -4.27 kcal/mol of atoms. For the theoretical density, the calculation gives 9.33 g/cm3. The uncorrected energy is -4.193 eV per atom. Its density of states at the Fermi level is 1.89 states/eV/f.u. The symmetry is P2/m, No. 10. As for the total magnetization: 0.0000 μB/atom.



Entry from Alexandria via LeMat-Bulk: a relaxed structure of Ac3GaGe (GGA-PBE).

abc: 8.765 8.765 9.117
angles: 92.76 92.76 28.80
Fractional coordinates of all 10 atoms:
Ac  0.047  0.047  0.177
Ac  0.240  0.240  0.824
Ac  0.402  0.402  0.422
Ac  0.598  0.598  0.578
Ac  0.760  0.760  0.176
Ac  0.953  0.953  0.823
Ga  0.213  0.213  0.432
Ga  0.787  0.787  0.568
Ge  0.392  0.392  0.067
Ge  0.608  0.608  0.933

Values from the calculation:
For the theoretical density, the calculation gives 8.11 g/cm3. The uncorrected energy is -4.462 eV per atom. Its density of states at the Fermi level is 3.76 states/eV/f.u. The symmetry is C2/m, No. 12. As for the total magnetization: 0.0802 μB/atom.



Entry from Alexandria via LeMat-Bulk: a relaxed structure of Na6CaH8 (GGA-PBE).

abc: 8.562 8.562 3.473
angles: 90.00 90.00 120.00
Fractional coordinates of all 15 atoms:
Na  0.140  0.433  0.234
Na  0.293  0.860  0.234
Na  0.433  0.293  0.766
Na  0.567  0.707  0.234
Na  0.707  0.140  0.766
Na  0.860  0.567  0.766
Ca  0.000  0.000  0.500
H  0.005  0.742  0.262
H  0.258  0.263  0.262
H  0.263  0.005  0.738
H  0.333  0.667  0.760
H  0.667  0.333  0.240
H  0.737  0.995  0.262
H  0.742  0.737  0.738
H  0.995  0.258  0.738

Values from the calculation:
For the theoretical density, the calculation gives 1.40 g/cm3. The uncorrected energy is -2.593 eV per atom. Its density of states at the Fermi level is 0.00 states/eV/f.u. The symmetry is P-3, No. 147. As for the total magnetization: 0.0000 μB/atom.



Entry from Alexandria via LeMat-Bulk: a relaxed structure of CoTeW2Se (GGA-PBE).

abc: 4.943 4.943 5.283
angles: 90.00 90.00 90.00
Fractional coordinates of all 5 atoms:
Co  0.000  0.000  0.000
Te  0.500  0.500  0.500
W  0.000  0.500  0.500
W  0.500  0.000  0.500
Se  0.500  0.500  0.000

Values from the calculation:
Its raw formation energy is 61.89 kcal/mol of atoms. For the theoretical density, the calculation gives 8.15 g/cm3. The uncorrected energy is -5.244 eV per atom. Its density of states at the Fermi level is 11.11 states/eV/f.u. The symmetry is P4/mmm, No. 123. As for the total magnetization: 0.4929 μB/atom.



Entry from Alexandria via LeMat-Bulk: a relaxed structure of HgGeHAu2 (GGA-PBE).

abc: 5.119 5.119 3.428
angles: 90.00 90.00 90.00
Fractional coordinates of all 5 atoms:
Hg  0.000  0.000  0.000
Ge  0.500  0.500  0.500
H  0.500  0.500  0.000
Au  0.000  0.500  0.500
Au  0.500  0.000  0.500

Values from the calculation:
For the theoretical density, the calculation gives 12.35 g/cm3. The uncorrected energy is -2.755 eV per atom. Its density of states at the Fermi level is 2.29 states/eV/f.u. The symmetry is P4/mmm, No. 123. As for the total magnetization: 0.0000 μB/atom.